This record from Alexandria describes crystalline MnAuSe2 at its relaxed geometry. The functional is PBEsol.

POSCAR file:
```
MnAuSe2
1.0
0.000 3.279 3.279
3.279 0.000 3.279
3.279 3.279 0.000
Mn Au Se
1 1 2
Cartesian
0.000 0.000 0.000 Mn
3.279 3.279 3.279 Au
1.639 1.639 1.639 Se
4.918 4.918 4.918 Se
```

## Properties
Raw formation energy ... 0.29 eV per atom
Space group ... No. 225

This record from Alexandria describes crystalline YSc2Ni at its relaxed geometry. The functional is PBEsol.

POSCAR file:
```
YSc2Ni
1.0
3.218 0.000 0.000
0.000 3.218 0.000
0.000 0.000 8.120
Y Sc Ni
1 2 1
Cartesian
0.000 0.000 0.000 Y
1.609 1.609 2.578 Sc
1.609 1.609 5.542 Sc
0.000 0.000 4.060 Ni
```

## Properties
Energy relative to the elements ... -0.190 eV per atom
Space group ... No. 123
Energy above the lowest structure with this stoichiometry ... 9 meV per atom

This record from Alexandria describes crystalline MnRh3 at its relaxed geometry. The functional is PBEsol.

POSCAR file:
```
MnRh3
1.0
4.383 -1.342 0.000
4.383 1.342 0.000
-0.861 0.000 4.475
Mn Rh
1 3
Cartesian
0.000 0.000 0.000 Mn
1.573 0.000 3.367 Rh
3.952 0.000 2.238 Rh
6.331 0.000 1.108 Rh
```

## Properties
Energy relative to the elements ... -0.019 eV per atom
Space group ... No. 12

This record from Alexandria describes crystalline Ag3Rh2 at its relaxed geometry. The functional is PBEsol.

POSCAR file:
```
Ag3Rh2
1.0
-1.398 1.884 7.270
1.398 -1.884 7.270
1.398 1.884 -7.270
Ag Rh
3 2
Cartesian
0.000 0.000 0.000 Ag
0.000 0.000 5.780 Ag
0.000 0.000 8.759 Ag
0.000 0.000 3.071 Rh
0.000 0.000 11.469 Rh
```

## Properties
Energy relative to the elements ... 0.167 eV per atom
Space group ... No. 71

This record from Alexandria describes crystalline Rb2RuO4 at its relaxed geometry. The functional is PBEsol.

POSCAR file:
```
Rb2RuO4
1.0
8.048 0.000 0.000
0.000 6.195 0.000
0.000 0.000 11.001
Rb Ru O
8 4 16
Cartesian
0.045 1.549 2.250 Rb
1.270 4.646 4.672 Rb
2.754 1.549 10.172 Rb
3.980 4.646 7.751 Rb
4.069 1.549 3.250 Rb
5.294 4.646 0.829 Rb
6.778 1.549 6.329 Rb
8.004 4.646 8.750 Rb
1.753 4.646 0.859 Ru
2.271 1.549 6.359 Ru
5.778 4.646 4.641 Ru
6.295 1.549 10.141 Ru
0.008 1.549 10.189 O
1.557 1.549 4.720 O
1.635 0.101 7.170 O
1.635 2.996 7.170 O
2.389 3.198 1.670 O
2.389 6.094 1.670 O
2.467 4.646 10.221 O
4.016 4.646 4.688 O
4.032 1.549 6.312 O
5.581 1.549 0.780 O
5.659 0.101 9.331 O
5.659 2.996 9.331 O
6.414 3.198 3.831 O
6.414 6.094 3.831 O
6.491 4.646 6.280 O
8.041 4.646 0.812 O
```

## Properties
Raw formation energy ... -1.30 eV per atom
Space group ... No. 62

This record from Alexandria describes crystalline BeCu5 at its relaxed geometry. The functional is PBEsol.

POSCAR file:
```
BeCu5
1.0
4.238 -1.292 0.000
4.238 1.292 0.000
-2.364 0.000 5.876
Be Cu
1 5
Cartesian
0.000 0.000 0.000 Be
-1.182 0.000 2.938 Cu
1.187 0.000 4.020 Cu
2.593 0.000 0.901 Cu
3.518 0.000 4.975 Cu
4.925 0.000 1.856 Cu
```

## Properties
Energy relative to the elements ... -0.013 eV per atom
Space group ... No. 12
Energy above the lowest structure with this stoichiometry ... 19 meV per atom

This record from Alexandria describes crystalline LiAsIr at its relaxed geometry. The functional is PBEsol.

POSCAR file:
```
LiAsIr
1.0
0.000 2.429 6.410
1.445 0.000 6.410
1.445 2.429 0.000
Li As Ir
1 1 1
Cartesian
0.000 0.000 0.000 Li
1.445 2.429 4.141 As
1.445 2.429 8.545 Ir
```

## Properties
Energy relative to the elements ... 0.010 eV per atom
Space group ... No. 42

This record from Alexandria describes crystalline CaZrTe2N at its relaxed geometry. The functional is PBEsol.

POSCAR file:
```
CaZrTe2N
1.0
5.616 0.000 0.000
0.000 5.616 0.000
0.000 0.000 4.146
Ca Zr Te N
1 1 2 1
Cartesian
0.000 0.000 0.000 Ca
2.808 2.808 2.073 Zr
0.000 2.808 0.000 Te
2.808 0.000 0.000 Te
0.000 0.000 2.073 N
```

## Properties
Raw formation energy ... 0.56 eV per atom
Space group ... No. 123

This record from Alexandria describes crystalline MgCdF2 at its relaxed geometry. The functional is PBEsol.

POSCAR file:
```
MgCdF2
1.0
1.511 0.872 8.331
-1.511 0.872 8.331
0.000 -1.745 8.331
Mg Cd F
1 1 2
Cartesian
0.000 0.000 0.000 Mg
0.000 0.000 12.496 Cd
0.000 0.000 9.290 F
0.000 0.000 15.702 F
```

## Properties
Raw formation energy ... -2.47 eV per atom
Space group ... No. 166

This record from Alexandria describes crystalline PbW2Br at its relaxed geometry. The functional is PBEsol.

POSCAR file:
```
PbW2Br
1.0
2.789 -5.149 0.000
2.789 5.149 0.000
-1.874 0.000 2.719
Pb W Br
1 2 1
Cartesian
0.000 0.000 0.000 Pb
0.457 2.574 1.360 W
0.457 -2.574 1.360 W
2.789 0.000 0.000 Br
```

## Properties
Raw formation energy ... 1.30 eV per atom
Space group ... No. 12
Energy above the lowest structure with this stoichiometry ... 153 meV per atom

This record from Alexandria describes crystalline BeTe2P at its relaxed geometry. The functional is PBEsol.

POSCAR file:
```
BeTe2P
1.0
-1.832 1.832 7.829
1.832 -1.832 7.829
1.832 1.832 -7.829
Be Te P
1 2 1
Cartesian
0.000 0.000 0.000 Be
1.832 0.000 3.915 Te
0.000 0.000 7.829 Te
0.000 1.832 3.915 P
```

## Properties
Raw formation energy ... 0.52 eV per atom
Space group ... No. 119
Energy above the lowest structure with this stoichiometry ... 48 meV per atom

This record from Alexandria describes crystalline V6O11F at its relaxed geometry. The functional is PBEsol.

POSCAR file:
```
V6O11F
1.0
2.821 0.000 0.000
0.000 3.187 9.819
0.000 -3.187 9.819
V O F
6 11 1
Cartesian
0.000 0.000 0.000 V
0.000 0.000 6.366 V
0.000 0.000 12.725 V
1.410 0.000 3.156 V
1.410 0.000 9.543 V
1.410 0.000 15.950 V
0.000 0.000 1.773 O
0.000 0.000 4.408 O
0.000 0.000 8.264 O
0.000 0.000 10.862 O
0.000 0.000 14.749 O
1.410 -1.303 6.320 O
1.410 -1.927 9.580 O
1.410 -1.283 12.845 O
1.410 1.303 6.320 O
1.410 1.927 9.580 O
1.410 1.283 12.845 O
0.000 0.000 17.425 F
```

## Properties
Raw formation energy ... -2.44 eV per atom
Space group ... No. 38
Energy above the lowest structure with this stoichiometry ... 8 meV per atom